Material: La2HoEr
Method: DFT, PBE-GGA
State: relaxed

The structure in extended XYZ format:
```
4
Lattice="1.820 1.051 11.775 -1.820 1.051 11.775 0.000 -2.101 11.775" Properties=species:S:1:pos:R:3 pbc="T T T"
La 0.000 0.000 0.000
La 0.000 0.000 5.868
Ho 0.000 0.000 14.685
Er 0.000 0.000 20.642
```

## Properties
Relative energy among the computed polymorphs ... 7 kJ/mol of formula units
SG ... R3m, No. 160
Formation energy ... 3 kJ/mol of atoms
Size of the total moment ... 0.000 μB/atom



Material: Mg2Zn2N3
Method: DFT, PBE-GGA
State: relaxed

The structure in extended XYZ format:
```
7
Lattice="5.249 -1.572 0.000 5.249 1.572 0.000 -1.697 0.000 5.097" Properties=species:S:1:pos:R:3 pbc="T T T"
Mg 0.612 0.000 1.981
Mg 8.188 0.000 3.116
Zn 3.344 0.000 0.838
Zn 5.456 0.000 4.259
N 1.659 0.000 3.945
N 4.400 0.000 2.548
N 7.141 0.000 1.152
```

## Properties
Formation energy without anion corrections ... -0.1642 eV/atom
SG ... C2/m, No. 12
Size of the total moment ... 0.000 μB/atom



Material: K3Pr3VS8
Method: DFT, PBE-GGA
State: relaxed

The structure in extended XYZ format:
```
15
Lattice="4.063 2.346 7.518 -4.063 2.346 7.518 0.000 -4.692 7.518" Properties=species:S:1:pos:R:3 pbc="T T T"
K -2.032 -1.173 7.518
K -2.032 1.173 15.035
K 0.000 2.346 7.518
Pr -4.063 0.000 11.276
Pr -2.032 1.173 3.759
Pr 2.032 1.173 3.759
V 0.000 0.000 11.276
S 0.000 0.000 5.356
S -1.775 -1.025 12.683
S 0.000 -2.050 9.869
S -1.775 1.025 9.869
S 1.775 -1.025 12.683
S 0.000 2.050 12.683
S 1.775 1.025 9.869
S 0.000 0.000 17.196
```

## Properties
Formation energy without anion corrections ... -1.5449 eV/atom
SG ... R-3m, No. 166
Size of the total moment ... 0.067 μB/atom



Material: SrAlNi2
Method: DFT, PBE-GGA
State: relaxed

The structure in extended XYZ format:
```
4
Lattice="-1.971 1.971 4.562 1.971 -1.971 4.562 1.971 1.971 -4.562" Properties=species:S:1:pos:R:3 pbc="T T T"
Sr 0.000 0.000 0.000
Al 1.971 0.000 2.281
Ni 0.000 0.000 4.562
Ni 0.000 1.971 2.281
```

## Properties
SG ... I-4m2, No. 119
Formation energy ... 23 kJ/mol of atoms
Size of the total moment ... 0.000 μB/atom



Question: Which value of size of the total moment does entry 4 give?
Answer: 0.000 μB/atom